[1]
Entry from Alexandria: a relaxed YHgPO2 crystal (GGA-PBE).

Cell: 4.2463 4.2463 6.0651 Å, 90.00 90.00 90.00°
Last column: nearest neighbours and their distance in Å.
Space group P4/mmm (No. 123)
Inequivalent atoms, fractional coordinates:
Y (0.0000, 0.0000, 0.0000) x1  4 O 2.12
Hg (0.5000, 0.5000, 0.5000) x1  4 P 3.00
P (0.0000, 0.0000, 0.5000) x1  4 Hg 3.00, 2 Y 3.03
O (0.0000, 0.5000, 0.0000) x2  2 Y 2.12

Summary:
E_form (uncorrected) = -0.80 eV/atom
Density of states at the Fermi level = 0.688 states/eV per atom
Magnetic moment = 0.26 μB/atom
Crystal system = tetragonal
Theoretical density = 5.35 g/cm3
E = -26.1 eV/cell

---

[2]
Entry from Alexandria: a relaxed Tb2YB6 crystal (GGA-PBE).

Cell: 5.7108 5.7108 3.9055 Å, 90.00 90.00 120.00°
Last column: nearest neighbours and their distance in Å.
Space group P6/mmm (No. 191)
Inequivalent atoms, fractional coordinates:
Tb (0.3333, 0.6667, 0.0000) x2  12 B 2.73
Y (0.0000, 0.0000, 0.0000) x1  12 B 2.72
B (0.0000, 0.3328, 0.5000) x6  3 B 1.90-1.91

Summary:
Energy relative to the elements = -0.544 eV per atom
Density of states at the Fermi level = 0.219 states/eV per atom
Magnetic moment = 0.00 μB/atom
Crystal system = hexagonal
Theoretical density = 7.10 g/cm3
E = -60.7 eV/cell

---

[3]
Entry from Alexandria: a relaxed K2SbAsOs crystal (GGA-PBE).

Cell: 6.6507 6.6507 4.9362 Å, 90.00 90.00 90.00°
Last column: nearest neighbours and their distance in Å.
Space group P4/mmm (No. 123)
Inequivalent atoms, fractional coordinates:
K (0.0000, 0.5000, 0.0000) x2  2 Sb 3.33
Sb (0.0000, 0.0000, 0.0000) x1  2 Os 2.47
As (0.5000, 0.5000, 0.5000) x1  8 K 4.14
Os (0.0000, 0.0000, 0.5000) x1  2 Sb 2.47

Summary:
E_form (uncorrected) = 0.95 eV/atom
Density of states at the Fermi level = 0.705 states/eV per atom
Magnetic moment = 0.71 μB/atom
Crystal system = tetragonal
Theoretical density = 3.54 g/cm3
E = -17.4 eV/cell

---

[4]
Entry from Alexandria: a relaxed TeOsCl crystal (GGA-PBE).

Cell: 3.1585 5.6896 15.2465 Å, 90.00 90.00 90.00°
Last column: nearest neighbours and their distance in Å.
Space group Fmm2 (No. 42)
Inequivalent atoms, fractional coordinates:
Te (0.0000, 0.0000, 0.0000) x4  2 Os 2.62
Os (0.0000, 0.0000, 0.3633) x4  2 Cl 2.47, 2 Te 2.62
Cl (0.0000, 0.0000, 0.7385) x4  2 Os 2.47

Summary:
E_form (uncorrected) = 0.57 eV/atom
Density of states at the Fermi level = 1.300 states/eV per atom
Magnetic moment = 0.00 μB/atom
Crystal system = orthorhombic
Theoretical density = 8.56 g/cm3
E = -58.1 eV/cell

---

[5]
Entry from Alexandria: a relaxed CsTl3Cd2 crystal (GGA-PBE).

Cell: 19.9841 5.1866 12.4928 Å, 90.00 105.42 90.00°
Last column: nearest neighbours and their distance in Å.
Space group C2/m (No. 12)
Inequivalent atoms, fractional coordinates:
Cs (0.0000, 0.0000, 0.0000) x2  6 Cd 3.87-3.97, 6 Tl 3.97-4.32
Cs (0.1614, 0.0000, 0.7073) x4  6 Tl 3.91-4.16, 6 Cd 3.96-4.00
Tl (0.0000, 0.5000, 0.5000) x2  4 Cd 3.14-3.34, 4 Tl 3.37
Tl (0.0411, 0.0000, 0.3571) x4  4 Cd 3.19-3.41, 3 Tl 3.24-3.37
Tl (0.1226, 0.5000, 0.2018) x4  4 Cd 3.11-3.33, 3 Tl 3.28-3.48
Tl (0.1697, 0.5000, 0.9693) x4  4 Cd 3.08-3.18, 1 Tl 3.28
Tl (0.2056, 0.0000, 0.3715) x4  4 Cd 3.08-3.16, 1 Tl 3.24
Cd (0.0288, 0.5000, 0.7759) x4  5 Tl 3.11-3.34
Cd (0.1494, 0.5000, 0.4629) x4  7 Tl 3.08-3.41
Cd (0.1996, 0.0000, 0.1170) x4  6 Tl 3.08-3.33

Summary:
Energy relative to the elements = -0.041 eV per atom
Density of states at the Fermi level = 0.478 states/eV per atom
Magnetic moment = 0.00 μB/atom
Crystal system = monoclinic
Theoretical density = 7.75 g/cm3
E = -60.2 eV/cell

---

[6]
Entry from Alexandria: a relaxed NpSiHg crystal (GGA-PBE).

Cell: 3.1917 19.6757 4.1002 Å, 90.00 90.00 90.00°
Last column: nearest neighbours and their distance in Å.
Space group Cmcm (No. 63)
Inequivalent atoms, fractional coordinates:
Np (0.0000, 0.0969, 0.2500) x4  6 Si 2.90-2.99, 2 Np 3.19
Si (0.0000, 0.4686, 0.2500) x4  2 Si 2.39
Hg (0.0000, 0.2951, 0.2500) x4  6 Hg 3.15-3.19, 4 Np 3.36, 1 Si 3.41

Summary:
E_form (uncorrected) = -0.02 eV/atom
Density of states at the Fermi level = 2.374 states/eV per atom
Magnetic moment = 1.44 μB/atom
Crystal system = orthorhombic
Theoretical density = 12.01 g/cm3
E = -74.9 eV/cell

---

[7]
Entry from Alexandria: a relaxed PuIN crystal (GGA-PBE).

Cell: 3.8235 3.8235 5.1949 Å, 90.00 90.00 120.00°
Last column: nearest neighbours and their distance in Å.
Space group P-6m2 (No. 187)
Inequivalent atoms, fractional coordinates:
Pu (0.0000, 0.0000, 0.0000) x1  3 N 2.21
I (0.6667, 0.3333, 0.5000) x1  6 Pu 3.41, 6 N 3.41
N (0.3333, 0.6667, 0.0000) x1  3 Pu 2.21

Summary:
E_form (uncorrected) = -0.89 eV/atom
Density of states at the Fermi level = 1.606 states/eV per atom
Magnetic moment = 1.33 μB/atom
Crystal system = hexagonal
Theoretical density = 9.72 g/cm3
E = -26.9 eV/cell

---

[8]
Entry from Alexandria: a relaxed IrI3F crystal (GGA-PBE).

Cell: 5.3909 5.3909 5.3909 Å, 90.00 90.00 90.00°
Last column: nearest neighbours and their distance in Å.
Space group Pm-3m (No. 221)
Inequivalent atoms, fractional coordinates:
Ir (0.0000, 0.0000, 0.0000) x1  6 I 2.70
I (0.0000, 0.0000, 0.5000) x3  2 Ir 2.70
F (0.5000, 0.5000, 0.5000) x1  12 I 3.81

Summary:
E_form (uncorrected) = 0.31 eV/atom
Density of states at the Fermi level = 1.295 states/eV per atom
Magnetic moment = 0.41 μB/atom
Crystal system = cubic
Theoretical density = 6.27 g/cm3
E = -13.8 eV/cell

---

[9]
Entry from Alexandria: a relaxed KOs2Au crystal (GGA-PBE).

Cell: 3.5995 5.4178 9.2261 Å, 90.00 90.00 90.00°
Last column: nearest neighbours and their distance in Å.
Space group Imm2 (No. 44)
Inequivalent atoms, fractional coordinates:
K (0.0000, 0.0000, 0.0000) x2  8 Os 3.21-3.40, 4 Au 3.28-3.30, 2 K 3.60
Os (0.0000, 0.0000, 0.4727) x2  2 Os 2.33
Os (0.0000, 0.5000, 0.8124) x2  2 Os 2.33
Au (0.0000, 0.5000, 0.2001) x2  2 Os 2.76

Summary:
Energy relative to the elements = 1.236 eV per atom
Density of states at the Fermi level = 1.214 states/eV per atom
Magnetic moment = 0.00 μB/atom
Crystal system = orthorhombic
Theoretical density = 11.38 g/cm3
E = -43.8 eV/cell

---

[10]
Entry from Alexandria: a relaxed CrP4 crystal (GGA-PBE).

Cell: 5.4277 5.4277 5.0717 Å, 90.00 90.00 90.00°
Last column: nearest neighbours and their distance in Å.
Space group I4/mmm (No. 139)
Inequivalent atoms, fractional coordinates:
Cr (0.0000, 0.0000, 0.0000) x2  4 P 2.27
P (0.2041, 0.2041, 0.5000) x8  2 P 2.22, 1 Cr 2.27

Summary:
Energy relative to the elements = 0.214 eV per atom
Density of states at the Fermi level = 0.623 states/eV per atom
Magnetic moment = 0.19 μB/atom
Crystal system = tetragonal
Theoretical density = 3.91 g/cm3
E = -60.4 eV/cell

---

[11]
Entry from Alexandria: a relaxed InCuPt6 crystal (GGA-PBE).

Cell: 3.9960 3.9960 7.8961 Å, 90.00 90.00 90.00°
Last column: nearest neighbours and their distance in Å.
Space group P4/mmm (No. 123)
Inequivalent atoms, fractional coordinates:
In (0.0000, 0.0000, 0.0000) x1  12 Pt 2.83-2.87
Cu (0.0000, 0.0000, 0.5000) x1  12 Pt 2.75-2.83
Pt (0.0000, 0.5000, 0.2610) x4  2 Cu 2.75, 8 Pt 2.75-2.87, 2 In 2.87
Pt (0.5000, 0.5000, 0.0000) x1  4 In 2.83, 8 Pt 2.87
Pt (0.5000, 0.5000, 0.5000) x1  8 Pt 2.75, 4 Cu 2.83

Summary:
Energy relative to the elements = -0.225 eV per atom
Density of states at the Fermi level = 1.157 states/eV per atom
Magnetic moment = 0.00 μB/atom
Crystal system = tetragonal
Theoretical density = 17.76 g/cm3
E = -44.9 eV/cell

---

[12]
Entry from Alexandria: a relaxed BaSrMg crystal (GGA-PBE).

Cell: 4.2953 4.2953 14.9725 Å, 90.00 90.00 90.00°
Last column: nearest neighbours and their distance in Å.
Space group I4mm (No. 107)
Inequivalent atoms, fractional coordinates:
Ba (0.0000, 0.0000, 0.0000) x2  4 Mg 3.76, 1 Sr 4.19
Sr (0.0000, 0.0000, 0.2802) x2  4 Mg 3.62
Mg (0.0000, 0.0000, 0.6481) x2  4 Sr 3.62, 4 Ba 3.76

Summary:
Energy relative to the elements = -0.032 eV per atom
Density of states at the Fermi level = 1.391 states/eV per atom
Magnetic moment = 0.00 μB/atom
Crystal system = tetragonal
Theoretical density = 3.00 g/cm3
E = -10.6 eV/cell